An optimized crystal structure of Dy4HoGa15. Source: the Alexandria database, functional PBE.

Values from the calculation:
Final energy   -3.956 eV per atom
ΔH_f (0 K)   -537 meV/atom
Magnetic moment   0.000 μB per atom
Mass density   7.93 g cm⁻³
Symmetry   P4/mmm, No. 123

Cell: 4.2775 4.2775 21.2914 Å, 90.00 90.00 90.00°
Positions (direct):
Dy (0.0000, 0.0000, 0.1001)
Dy (0.0000, 0.0000, 0.3003)
Dy (0.0000, 0.0000, 0.6997)
Dy (0.0000, 0.0000, 0.8999)
Ho (0.0000, 0.0000, 0.5000)
Ga (0.0000, 0.5000, 0.0000)
Ga (0.0000, 0.5000, 0.2002)
Ga (0.0000, 0.5000, 0.4004)
Ga (0.0000, 0.5000, 0.5996)
Ga (0.0000, 0.5000, 0.7998)
Ga (0.5000, 0.0000, 0.0000)
Ga (0.5000, 0.0000, 0.2002)
Ga (0.5000, 0.0000, 0.4004)
Ga (0.5000, 0.0000, 0.5996)
Ga (0.5000, 0.0000, 0.7998)
Ga (0.5000, 0.5000, 0.1001)
Ga (0.5000, 0.5000, 0.3000)
Ga (0.5000, 0.5000, 0.5000)
Ga (0.5000, 0.5000, 0.7000)
Ga (0.5000, 0.5000, 0.8999)

An optimized crystal structure of DyHo3Ga4. Source: the Alexandria database, functional PBE.

Values from the calculation:
Final energy   -4.266 eV per atom
ΔH_f (0 K)   -461 meV/atom
ΔE to the lowest computed polymorph   0.117 eV per atom
Magnetic moment   0.000 μB per atom
Mass density   7.85 g cm⁻³
Symmetry   Immm, No. 71

Cell: 9.0940 9.0940 9.0940 Å, 157.41 136.58 49.49°
Positions (direct):
Dy (0.0000, 0.0000, 0.0000)
Ho (0.2024, 0.7024, 0.5000)
Ho (0.5000, 0.5000, 0.0000)
Ho (0.7976, 0.2976, 0.5000)
Ga (0.1778, 0.8702, 0.3076)
Ga (0.4374, 0.1298, 0.3076)
Ga (0.5626, 0.8702, 0.6924)
Ga (0.8222, 0.1298, 0.6924)

An optimized crystal structure of DyHoGa4. Source: the Alexandria database, functional PBE.

Values from the calculation:
Final energy   -4.097 eV per atom
ΔH_f (0 K)   -549 meV/atom
ΔE to the lowest computed polymorph   0.080 eV per atom
Magnetic moment   0.000 μB per atom
Mass density   8.56 g cm⁻³
Symmetry   F-43m, No. 216

Cell: 5.4986 5.4986 5.4986 Å, 60.00 60.00 60.00°
Positions (direct):
Dy (0.0000, 0.0000, 0.0000)
Ho (0.2500, 0.2500, 0.2500)
Ga (0.1250, 0.6250, 0.6250)
Ga (0.6250, 0.1250, 0.6250)
Ga (0.6250, 0.6250, 0.1250)
Ga (0.6250, 0.6250, 0.6250)

An optimized crystal structure of Dy3HoGa4. Source: the Alexandria database, functional PBE.

Values from the calculation:
Final energy   -4.274 eV per atom
ΔH_f (0 K)   -463 meV/atom
ΔE to the lowest computed polymorph   0.118 eV per atom
Magnetic moment   0.000 μB per atom
Mass density   7.75 g cm⁻³
Symmetry   Immm, No. 71

Cell: 9.1161 9.1161 9.1161 Å, 157.33 136.71 49.41°
Positions (direct):
Dy (0.0000, 0.0000, 0.0000)
Dy (0.2975, 0.7975, 0.5000)
Dy (0.7025, 0.2025, 0.5000)
Ho (0.5000, 0.5000, 0.0000)
Ga (0.0639, 0.3707, 0.6932)
Ga (0.3225, 0.6293, 0.6932)
Ga (0.6775, 0.3707, 0.3068)
Ga (0.9361, 0.6293, 0.3068)

An optimized crystal structure of DyHoGa4. Source: the Alexandria database, functional PBE.

Values from the calculation:
Final energy   -4.177 eV per atom
ΔH_f (0 K)   -629 meV/atom
ΔE to the lowest computed polymorph   0.000 eV per atom
Magnetic moment   0.000 μB per atom
Mass density   8.28 g cm⁻³
Symmetry   Imm2, No. 44

Cell: 5.7899 5.7899 5.7899 Å, 136.94 106.04 89.60°
Positions (direct):
Dy (0.0000, 0.0000, 0.0000)
Ho (0.6206, 0.1206, 0.5000)
Ga (0.0222, 0.7211, 0.3011)
Ga (0.2008, 0.3987, 0.8020)
Ga (0.4201, 0.7211, 0.6989)
Ga (0.5967, 0.3987, 0.1980)

An optimized crystal structure of Dy3Ho3Ga4. Source: the Alexandria database, functional PBE.

Values from the calculation:
Final energy   -4.486 eV per atom
ΔH_f (0 K)   -522 meV/atom
Magnetic moment   0.000 μB per atom
Mass density   8.34 g cm⁻³
Symmetry   Amm2, No. 38

Cell: 4.3144 7.6299 7.6299 Å, 90.10 90.00 90.00°
Positions (direct):
Dy (0.0000, 0.0000, 0.0000)
Dy (0.0000, 0.1515, 0.5003)
Dy (0.0000, 0.5003, 0.1515)
Ho (0.0000, 0.6514, 0.6514)
Ho (0.5000, 0.3261, 0.8256)
Ho (0.5000, 0.8256, 0.3261)
Ga (0.5000, 0.2058, 0.2058)
Ga (0.5000, 0.4464, 0.4464)
Ga (0.5000, 0.7056, 0.9455)
Ga (0.5000, 0.9455, 0.7056)

An optimized crystal structure of DyHoGa2. Source: the Alexandria database, functional PBE.

Values from the calculation:
Final energy   -4.235 eV per atom
ΔH_f (0 K)   -426 meV/atom
ΔE to the lowest computed polymorph   0.204 eV per atom
Magnetic moment   0.000 μB per atom
Mass density   7.80 g cm⁻³
Symmetry   R-3m, No. 166

Cell: 8.9259 8.9259 8.9259 Å, 23.50 23.50 23.50°
Positions (direct):
Dy (0.0000, 0.0000, 0.0000)
Ho (0.5000, 0.5000, 0.5000)
Ga (0.2497, 0.2497, 0.2497)
Ga (0.7503, 0.7503, 0.7503)

An optimized crystal structure of DyHoGa. Source: the Alexandria database, functional PBE.

Values from the calculation:
Final energy   -4.460 eV per atom
ΔH_f (0 K)   -391 meV/atom
ΔE to the lowest computed polymorph   0.000 eV per atom
Magnetic moment   0.000 μB per atom
Mass density   8.60 g cm⁻³
Symmetry   C2/m, No. 12

Cell: 8.3661 8.3661 5.1373 Å, 90.06 90.06 25.24°
Positions (direct):
Dy (0.0771, 0.0771, 0.2488)
Dy (0.9229, 0.9229, 0.7512)
Ho (0.2230, 0.2230, 0.7497)
Ho (0.7770, 0.7770, 0.2503)
Ga (0.4230, 0.4230, 0.2520)
Ga (0.5770, 0.5770, 0.7480)